This record from Alexandria describes Ho4MgZn after structural relaxation. The functional is PBE.

Calculated values
As for the total moment: 0.0 μB/f.u. The value obtained for the calculated total energy is -19.9 eV per cell. For the polymorph energy (0 for the lowest one), the calculation gives 2.01 eV per formula unit. As for the formation energy: 215.7 meV per atom.

The structure in CIF format:
```
data_Ho4MgZn
_symmetry_space_group_name_H-M 'P 4/m m m'
_symmetry_Int_Tables_number 123
_symmetry_space_group_name_Hall '-P 4 2'
_cell_length_a 4.939
_cell_length_b 4.939
_cell_length_c 7.524
_cell_angle_alpha 90.00
_cell_angle_beta 90.00
_cell_angle_gamma 90.00
loop_
_atom_site_label
_atom_site_fract_x
_atom_site_fract_y
_atom_site_fract_z
Ho1 0.000 0.500 0.226
Mg1 0.000 0.000 0.500
Zn1 0.500 0.500 0.000
```